# Li2NiPd2O6, optimized geometry, DFT GGA+U
data_Li2NiPd2O6
_chemical_formula_sum 'Li2 Ni1 Pd2 O6'
_symmetry_space_group_name_H-M 'P 1'
_symmetry_Int_Tables_number 1
_cell_length_a 5.2666
_cell_length_b 5.2666
_cell_length_c 5.2177
_cell_angle_alpha 99.99
_cell_angle_beta 99.99
_cell_angle_gamma 120.33
loop_
_symmetry_equiv_pos_as_xyz
'x,y,z'
loop_
_atom_site_label
_atom_site_type_symbol
_atom_site_fract_x
_atom_site_fract_y
_atom_site_fract_z
O1 O 0.5784 0.9305 0.2776
O2 O 0.4216 0.0695 0.7224
O3 O 0.9305 0.5784 0.2776
O4 O 0.7486 0.7486 0.7194
O5 O 0.0695 0.4216 0.7224
O6 O 0.2514 0.2514 0.2806
Pd1 Pd 0.3356 0.6644 0.5000
Pd2 Pd 0.6644 0.3356 0.5000
Ni1 Ni 0.0000 0.0000 0.5000
Li1 Li 0.8336 0.1664 0.0000
Li2 Li 0.1664 0.8336 0.0000
# size of the total moment = 0.181 μB/atom
# total energy = -57.44 eV per cell
# symmetry = No. 12